(1)
Entry from Alexandria: a relaxed structure of Er2Ge4IrRh3 (PBE).

Geometry as POSCAR:
```
Er2Ge4IrRh3
1.0
4.1884 0.0000 0.0000
0.0000 4.1884 0.0000
0.0000 0.0000 10.1183
Er Ge Ir Rh
2 4 1 3
direct
0.0000 0.5000 0.2466
0.5000 0.0000 0.7534
0.0000 0.0000 0.0000
0.0000 0.5000 0.6331
0.5000 0.0000 0.3669
0.5000 0.5000 0.0000
0.0000 0.0000 0.5000
0.0000 0.5000 0.8701
0.5000 0.0000 0.1299
0.5000 0.5000 0.5000
```

(2)
SrNi3As3 | Alexandria | PBE | optimized geometry; energy above the most stable polymorph in this dataset = 10 meV/atom
1.0
6.5088 0.0000 0.0000
0.0000 6.5088 0.0000
0.0000 0.0000 6.5088
Sr Ni As
2 6 6
direct
0.0000 0.0000 0.0000
0.5000 0.5000 0.5000
0.0000 0.2500 0.5000
0.0000 0.7500 0.5000
0.2500 0.5000 0.0000
0.5000 0.0000 0.2500
0.5000 0.0000 0.7500
0.7500 0.5000 0.0000
0.0000 0.5000 0.2500
0.0000 0.5000 0.7500
0.2500 0.0000 0.5000
0.5000 0.2500 0.0000
0.5000 0.7500 0.0000
0.7500 0.0000 0.5000

no.,ΔE_f (eV/atom),spin magnetization (μB per cell)
1,-0.811,0.0
2,-0.439,0.0